VASP calculation (PBE) on a relaxed Ac2DyHoO6 crystal.

The structure in extended XYZ format:
```
20
Lattice="6.0298 0.0000 0.0000 0.0000 6.1988 0.0000 -6.0262 0.0000 8.6594" Properties=species:S:1:pos:R:3 pbc="T T T"
Ac -0.0849 0.2921 2.1652
Ac -3.0980 2.8073 6.4949
Ac 3.1016 3.3915 2.1644
Ac 0.0885 5.9067 6.4941
Dy 3.0149 0.0000 0.0000
Dy 0.0018 3.0994 4.3297
Ho -3.0131 0.0000 4.3297
Ho 0.0000 3.0994 0.0000
O -4.8324 1.2423 8.1168
O -1.8193 1.8571 3.7871
O -4.2144 4.3341 8.1192
O -1.2013 4.9640 3.7896
O -2.3139 0.3068 6.4881
O 0.6992 2.7926 2.1584
O -0.6956 3.4062 6.5009
O 2.3175 5.8920 2.1713
O 1.2048 1.2348 4.8698
O 4.2180 1.8646 0.5401
O 1.8228 4.3417 4.8723
O 4.8360 4.9565 0.5426
```

Calculated values
ΔE_f (raw) = -3.464 eV/atom
Magnetic moment = 0.00 μB per atom

---

VASP calculation (PBE) on a relaxed BaCdSnH2 crystal.

The structure in extended XYZ format:
```
10
Lattice="2.3874 -6.4314 0.0000 2.3874 6.4314 0.0000 0.0000 0.0000 6.6380" Properties=species:S:1:pos:R:3 pbc="T T T"
Ba 2.3874 3.7312 4.9785
Ba 2.3874 -3.7312 1.6595
Cd 2.3874 0.0000 0.0000
Cd 2.3874 0.0000 3.3190
Sn 2.3874 5.5380 1.6595
Sn 2.3874 -5.5380 4.9785
H 2.3874 2.0415 0.3654
H 2.3874 2.0415 2.9536
H 2.3874 -2.0415 3.6844
H 2.3874 -2.0415 6.2726
```

Calculated values
Energy = -0.2143 Ry per atom
Magnetic moment = 0.00 μB per atom

---

VASP calculation (PBE) on a relaxed Pr2Mg2Tl crystal.

The structure in extended XYZ format:
```
5
Lattice="4.6319 -2.6773 0.0000 4.6319 2.6773 0.0000 -3.0761 0.0000 5.8616" Properties=species:S:1:pos:R:3 pbc="T T T"
Pr 0.0013 0.0000 1.7470
Pr 6.1866 0.0000 4.1145
Mg 0.0108 0.0000 5.6158
Mg 6.1770 0.0000 0.2457
Tl 3.0939 0.0000 2.9308
```

Calculated values
Energy of formation = -0.1831 eV per atom
Energy relative to the lowest polymorph listed for this composition = 0 meV per atom
Magnetic moment = 0.00 μB per atom

---

VASP calculation (PBE) on a relaxed TiTl3Au crystal.

The structure in extended XYZ format:
```
5
Lattice="5.4370 0.0000 0.0000 0.0000 5.4370 0.0000 0.0000 0.0000 5.4370" Properties=species:S:1:pos:R:3 pbc="T T T"
Ti 0.0000 0.0000 0.0000
Tl 0.0000 2.7185 2.7185
Tl 2.7185 0.0000 2.7185
Tl 2.7185 2.7185 0.0000
Au 2.7185 2.7185 2.7185
```

Calculated values
Energy of formation = 0.8241 eV per atom
Energy relative to the lowest polymorph listed for this composition = 177 meV per atom
Magnetic moment = 0.00 μB per atom

---

VASP calculation (PBE) on a relaxed Nb2HgPRh crystal.

The structure in extended XYZ format:
```
5
Lattice="5.1263 0.0000 0.0000 0.0000 5.1263 0.0000 0.0000 0.0000 4.5690" Properties=species:S:1:pos:R:3 pbc="T T T"
Nb 0.0000 2.5632 0.0000
Nb 2.5632 0.0000 0.0000
Hg 0.0000 0.0000 0.0000
P 0.0000 0.0000 2.2845
Rh 2.5632 2.5632 2.2845
```

Calculated values
Energy of formation = 2.0835 eV per atom
Magnetic moment = 0.17 μB per atom

---

VASP calculation (PBE) on a relaxed Th2BiN2 crystal.

The structure in extended XYZ format:
```
5
Lattice="3.3804 -1.9327 0.0000 3.3804 1.9327 0.0000 -3.1731 0.0000 10.3956" Properties=species:S:1:pos:R:3 pbc="T T T"
Th -0.4573 0.0000 2.5466
Th 4.0451 0.0000 7.8490
Bi 1.7939 0.0000 5.1978
N -0.4718 0.0000 8.3911
N 4.0596 0.0000 2.0045
```

Calculated values
ΔE_f (raw) = -1.053 eV/atom
Energy relative to the lowest polymorph listed for this composition = 461 meV per atom
Magnetic moment = 0.00 μB per atom